a) Below is a geometry-optimized TaAl2Os structure, with properties calculated at the PBE level.

Unit cell a=4.4108 b=4.4108 c=4.4108 alpha=60.00 beta=60.00 gamma=60.00
With the nearest neighbours (Å) after each atom.
Positions (direct):
1 Ta 0.0000 0.0000 0.0000  8 Al 2.70
2 Al 0.2500 0.2500 0.2500  4 Ta 2.70, 4 Os 2.70
3 Al 0.7500 0.7500 0.7500  4 Os 2.70, 4 Ta 2.70
4 Os 0.5000 0.5000 0.5000  8 Al 2.70

Crystal system = cubic
Calculated volume = 60.7 Å³/cell

b) Below is a geometry-optimized TaAl2Os structure, with properties calculated at the PBE level.

Unit cell a=3.9103 b=3.9103 c=4.0374 alpha=90.00 beta=90.00 gamma=90.00
With the nearest neighbours (Å) after each atom.
Positions (direct):
1 Ta 0.0000 0.0000 0.0000  4 Os 2.76, 8 Al 2.81
2 Al 0.0000 0.5000 0.5000  4 Al 2.76, 4 Os 2.81, 4 Ta 2.81
3 Al 0.5000 0.0000 0.5000  4 Al 2.76, 4 Os 2.81, 4 Ta 2.81
4 Os 0.5000 0.5000 0.0000  4 Ta 2.76, 8 Al 2.81

Crystal system = tetragonal
Calculated volume = 61.7 Å³/cell

Most stable structure - b); separation to the second - 175 meV per atom.

a) Below is a geometry-optimized B5C7 structure, with properties calculated at the PBE level.

Unit cell a=6.1304 b=6.1304 c=5.3204 alpha=101.58 beta=101.58 gamma=24.05
With the nearest neighbours (Å) after each atom.
Positions (direct):
1 B 0.0000 0.0000 0.0000  3 C 1.65, 1 B 1.74
2 B 0.0802 0.0802 0.3115  1 C 1.60, 3 B 1.71-1.74
3 B 0.4146 0.4146 0.4765  4 C 1.64-1.67
4 B 0.6749 0.6749 0.4044  1 C 1.55, 2 B 1.71
5 B 0.7621 0.7621 0.1023  3 C 1.59-1.61
6 C 0.0067 0.0067 0.5297  1 C 1.59, 3 B 1.60-1.67
7 C 0.0897 0.0897 0.8035  3 C 1.55-1.59, 1 B 1.65
8 C 0.3354 0.3354 0.6985  3 C 1.54-1.56, 1 B 1.66
9 C 0.3398 0.3398 0.1817  1 C 1.53, 3 B 1.59-1.64
10 C 0.4114 0.4114 0.9743  2 C 1.53-1.56, 2 B 1.65
11 C 0.6640 0.6640 0.8446  3 C 1.55-1.67, 1 B 1.61
12 C 0.7626 0.7626 0.6626  3 C 1.54-1.67, 1 B 1.55

Crystal system = monoclinic
Calculated volume = 79.7 Å³/cell

b) Below is a geometry-optimized B5C7 structure, with properties calculated at the PBE level.

Unit cell a=6.6827 b=6.6827 c=4.7512 alpha=103.98 beta=103.98 gamma=22.27
With the nearest neighbours (Å) after each atom.
Positions (direct):
1 B 0.0000 0.0000 0.0000  3 C 1.60-1.61, 1 B 1.78
2 B 0.1275 0.1275 0.2417  2 C 1.64, 2 B 1.78-1.83
3 B 0.1656 0.1656 0.8951  3 C 1.63-1.64
4 B 0.5079 0.5079 0.5422  4 C 1.56-1.64
5 B 0.8463 0.8463 0.2208  4 C 1.66-1.74
6 C 0.2945 0.2945 0.9941  1 C 1.56, 3 B 1.64-1.71
7 C 0.3378 0.3378 0.7154  4 C 1.50-1.60
8 C 0.4559 0.4559 0.8050  1 C 1.50, 3 B 1.56-1.61
9 C 0.6341 0.6341 0.6826  1 C 1.46, 3 B 1.63
10 C 0.6823 0.6823 0.4352  2 C 1.46-1.51
11 C 0.8007 0.8007 0.5185  3 C 1.51-1.60, 1 B 1.66
12 C 0.9831 0.9831 0.3215  4 B 1.60-1.74

Crystal system = monoclinic
Calculated volume = 77.9 Å³/cell

Most stable structure - b); separation to the second - 74 meV per atom.

a) Below is a geometry-optimized CuOs2Ru structure, with properties calculated at the PBE level.

Unit cell a=5.6732 b=5.6732 c=5.6732 alpha=101.15 beta=101.15 gamma=127.83
With the nearest neighbours (Å) after each atom.
Positions (direct):
1 Cu 0.0000 0.0000 0.0000  2 Ru 2.49
2 Cu 0.7500 0.2500 0.5000  2 Ru 2.49
3 Os 0.1713 0.6250 0.0463  2 Ru 2.41, 2 Os 2.58
4 Os 0.3750 0.4213 0.5463  2 Ru 2.41, 2 Os 2.58
5 Os 0.5787 0.1250 0.9537  2 Ru 2.41, 2 Os 2.58
6 Os 0.8750 0.8287 0.4537  2 Ru 2.41, 2 Os 2.58
7 Ru 0.2500 0.7500 0.5000  4 Os 2.41, 2 Cu 2.49
8 Ru 0.5000 0.5000 0.0000  4 Os 2.41, 2 Cu 2.49

Crystal system = tetragonal
Calculated volume = 129.5 Å³/cell

b) Below is a geometry-optimized CuOs2Ru structure, with properties calculated at the PBE level.

Unit cell a=4.7593 b=4.7593 c=4.7593 alpha=133.79 beta=133.79 gamma=67.41
With the nearest neighbours (Å) after each atom.
Positions (direct):
1 Cu 0.0000 0.0000 0.0000  4 Ru 2.64, 8 Os 2.72
2 Os 0.2500 0.7500 0.5000  4 Os 2.64, 4 Cu 2.72, 4 Ru 2.72
3 Os 0.7500 0.2500 0.5000  4 Os 2.64, 4 Cu 2.72, 4 Ru 2.72
4 Ru 0.5000 0.5000 0.0000  4 Cu 2.64, 8 Os 2.72

Crystal system = tetragonal
Calculated volume = 55.2 Å³/cell

Most stable structure - b); separation to the second - 657 meV per atom.

a) Below is a geometry-optimized HPd3Pt structure, with properties calculated at the PBE level.

Unit cell a=9.6529 b=9.6529 c=9.6529 alpha=151.44 beta=151.44 gamma=40.83
With the nearest neighbours (Å) after each atom.
Positions (direct):
1 H 0.1038 0.1038 0.0000  6 Pd 2.41-2.69
2 H 0.8962 0.8962 0.0000  6 Pd 2.41-2.69
3 Pd 0.0834 0.5834 0.5000  2 H 2.41
4 Pd 0.1220 0.3736 0.7484  2 Pd 2.37-2.40, 2 Pt 2.53-2.58
5 Pd 0.4166 0.9166 0.5000  2 H 2.41
6 Pd 0.6252 0.3736 0.2516  2 Pd 2.37-2.40, 2 Pt 2.53-2.58
7 Pd 0.6264 0.3748 0.7484  2 Pd 2.37-2.40, 2 Pt 2.53-2.58
8 Pd 0.6264 0.8780 0.2516  2 Pd 2.37-2.40, 2 Pt 2.53-2.58
9 Pt 0.5000 0.5000 0.0000  8 Pd 2.58-2.82
10 Pt 0.7500 0.2500 0.5000  4 Pd 2.53

Crystal system = tetragonal
Calculated volume = 205.2 Å³/cell

b) Below is a geometry-optimized HPd3Pt structure, with properties calculated at the PBE level.

Unit cell a=6.7624 b=6.7624 c=9.4237 alpha=110.86 beta=110.86 gamma=40.84
With the nearest neighbours (Å) after each atom.
Positions (direct):
1 H 0.2434 0.7566 0.7500  4 Pd 1.86
2 H 0.2473 0.7527 0.2500  4 Pd 1.86
3 H 0.7527 0.2473 0.7500  4 Pd 1.86
4 H 0.7566 0.2434 0.2500  4 Pd 1.86
5 Pd 0.0658 0.0700 0.6548  2 H 1.86
6 Pd 0.0700 0.0658 0.1548  2 H 1.86
7 Pd 0.1902 0.1913 0.9700  2 Pt 2.72-2.73, 8 Pd 2.73-3.03, 2 H 2.77
8 Pd 0.1913 0.1902 0.4700  2 Pt 2.72-2.73, 8 Pd 2.73-3.03, 2 H 2.77
9 Pd 0.4345 0.4376 0.5893  2 H 1.86
10 Pd 0.4376 0.4345 0.0893  2 H 1.86
11 Pd 0.5624 0.5655 0.9107  2 H 1.86
12 Pd 0.5655 0.5624 0.4107  2 H 1.86
13 Pd 0.8087 0.8098 0.5300  2 Pt 2.72-2.73, 8 Pd 2.73-3.03, 2 H 2.77
14 Pd 0.8098 0.8087 0.0300  2 Pt 2.72-2.73, 8 Pd 2.73-3.03, 2 H 2.77
15 Pd 0.9300 0.9342 0.8452  2 H 1.86
16 Pd 0.9342 0.9300 0.3452  2 H 1.86
17 Pt 0.3054 0.3105 0.7791  8 Pd 2.72-3.00, 2 Pt 2.72, 2 H 2.82
18 Pt 0.3105 0.3054 0.2791  8 Pd 2.72-3.00, 2 Pt 2.72, 2 H 2.82
19 Pt 0.6895 0.6946 0.7209  8 Pd 2.72-3.00, 2 Pt 2.72, 2 H 2.82
20 Pt 0.6946 0.6895 0.2209  8 Pd 2.72-3.00, 2 Pt 2.72, 2 H 2.82

Crystal system = monoclinic
Calculated volume = 260.7 Å³/cell

Most stable structure - b); separation to the second - 976 meV per atom.

a) Below is a geometry-optimized Co2AuSe structure, with properties calculated at the PBE level.

Unit cell a=4.4148 b=4.4148 c=4.4148 alpha=60.00 beta=60.00 gamma=60.00
With the nearest neighbours (Å) after each atom.
Positions (direct):
1 Co 0.0000 0.0000 0.0000  4 Se 2.70, 4 Co 2.70
2 Co 0.2500 0.2500 0.2500  4 Co 2.70, 4 Au 2.70
3 Au 0.5000 0.5000 0.5000  4 Se 2.70, 4 Co 2.70
4 Se 0.7500 0.7500 0.7500  4 Co 2.70, 4 Au 2.70

Crystal system = cubic
Calculated volume = 60.8 Å³/cell

b) Below is a geometry-optimized Co2AuSe structure, with properties calculated at the PBE level.

Unit cell a=4.4626 b=4.4626 c=4.4626 alpha=128.49 beta=117.85 gamma=84.87
With the nearest neighbours (Å) after each atom.
Positions (direct):
1 Co 0.2079 0.2079 0.0000  2 Se 2.37
2 Co 0.7921 0.7921 0.0000  2 Se 2.37
3 Au 0.5000 0.0000 0.5000  8 Co 2.68-2.73
4 Se 0.0000 0.5000 0.5000  4 Co 2.37

Crystal system = orthorhombic
Calculated volume = 58.9 Å³/cell

Most stable structure - b); separation to the second - 188 meV per atom.

a) Below is a geometry-optimized Tl7In2Pb structure, with properties calculated at the PBE level.

Unit cell a=9.3724 b=9.3724 c=4.9590 alpha=90.00 beta=90.00 gamma=122.18
With the nearest neighbours (Å) after each atom.
Positions (direct):
1 Tl 0.0000 0.0000 0.0000  2 In 3.23, 4 Tl 3.30
2 Tl 0.2020 0.4153 0.0000  1 In 3.16, 5 Tl 3.30-3.50, 2 Pb 3.50
3 Tl 0.2992 0.7008 0.5000  2 In 3.00, 1 Pb 3.29
4 Tl 0.4153 0.2020 0.0000  1 In 3.16, 5 Tl 3.30-3.50, 2 Pb 3.50
5 Tl 0.5847 0.7980 0.0000  1 In 3.16, 5 Tl 3.30-3.50, 2 Pb 3.50
6 Tl 0.7008 0.2992 0.5000  2 In 3.00, 1 Pb 3.29
7 Tl 0.7980 0.5847 0.0000  1 In 3.16, 5 Tl 3.30-3.50, 2 Pb 3.50
8 In 0.1967 0.8033 0.0000  5 Tl 3.00-3.23
9 In 0.8033 0.1967 0.0000  5 Tl 3.00-3.23
10 Pb 0.5000 0.5000 0.5000  10 Tl 3.29-3.50

Crystal system = orthorhombic
Calculated volume = 368.7 Å³/cell

b) Below is a geometry-optimized Tl7In2Pb structure, with properties calculated at the PBE level.

Unit cell a=11.3093 b=11.3093 c=3.3815 alpha=90.00 beta=90.00 gamma=128.98
With the nearest neighbours (Å) after each atom.
Positions (direct):
1 Tl 0.0000 0.0000 0.0000  10 Tl 3.38-3.60
2 Tl 0.1444 0.8556 0.5000  2 In 3.19, 8 Tl 3.38-3.41
3 Tl 0.1874 0.4009 0.0000  1 In 3.11, 4 Tl 3.38-3.41, 2 Pb 3.41
4 Tl 0.4009 0.1874 0.0000  1 In 3.11, 4 Tl 3.38-3.41, 2 Pb 3.41
5 Tl 0.5991 0.8126 0.0000  1 In 3.11, 4 Tl 3.38-3.41, 2 Pb 3.41
6 Tl 0.8126 0.5991 0.0000  1 In 3.11, 4 Tl 3.38-3.41, 2 Pb 3.41
7 Tl 0.8556 0.1444 0.5000  2 In 3.19, 8 Tl 3.38-3.41
8 In 0.2769 0.7231 0.0000  4 Tl 3.11-3.19, 2 In 3.38
9 In 0.7231 0.2769 0.0000  4 Tl 3.11-3.19, 2 In 3.38
10 Pb 0.5000 0.5000 0.5000  2 Pb 3.38, 8 Tl 3.41

Crystal system = orthorhombic
Calculated volume = 336.2 Å³/cell

Most stable structure - b); separation to the second - 66 meV per atom.

a) Below is a geometry-optimized K2MnTl structure, with properties calculated at the PBE level.

Unit cell a=13.0666 b=13.0666 c=13.0666 alpha=158.95 beta=158.95 gamma=29.94
With the nearest neighbours (Å) after each atom.
Positions (direct):
1 K 0.1246 0.6250 0.9996  4 K 3.37-3.38, 2 Mn 3.58, 2 Tl 3.58
2 K 0.3750 0.3746 0.4996  4 K 3.37-3.38, 2 Mn 3.58, 2 Tl 3.58
3 K 0.6254 0.1250 0.0004  4 K 3.37-3.38, 2 Mn 3.58, 2 Tl 3.58
4 K 0.8750 0.8754 0.5004  4 K 3.37-3.38, 2 Mn 3.58, 2 Tl 3.58
5 Mn 0.0000 0.0000 0.0000  4 Tl 3.38, 4 K 3.58
6 Mn 0.7500 0.2500 0.5000  4 Tl 3.38, 4 K 3.58
7 Tl 0.2500 0.7500 0.5000  4 Mn 3.38, 4 K 3.58
8 Tl 0.5000 0.5000 0.0000  4 Mn 3.38, 4 K 3.58

Crystal system = tetragonal
Calculated volume = 287.6 Å³/cell

b) Below is a geometry-optimized K2MnTl structure, with properties calculated at the PBE level.

Unit cell a=6.4132 b=6.4132 c=3.8626 alpha=90.00 beta=90.00 gamma=115.89
With the nearest neighbours (Å) after each atom.
Positions (direct):
1 K 0.0000 0.5000 0.0000  2 K 3.40, 4 Tl 3.74, 4 Mn 3.74
2 K 0.5000 0.0000 0.0000  2 K 3.40, 4 Tl 3.74, 4 Mn 3.74
3 Mn 0.0000 0.0000 0.5000  2 Tl 3.40, 8 K 3.74
4 Tl 0.5000 0.5000 0.5000  2 Mn 3.40, 8 K 3.74

Crystal system = orthorhombic
Calculated volume = 142.9 Å³/cell

Most stable structure - b); separation to the second - 100 meV per atom.

a) Below is a geometry-optimized HgPt2Br structure, with properties calculated at the PBE level.

Unit cell a=3.2889 b=3.2889 c=7.5733 alpha=90.00 beta=90.00 gamma=90.00
With the nearest neighbours (Å) after each atom.
Positions (direct):
1 Hg 0.0000 0.0000 0.0000  5 Pt 2.86-3.13
2 Pt 0.0000 0.0000 0.4137  4 Pt 2.75, 4 Br 2.94
3 Pt 0.5000 0.5000 0.2200  4 Pt 2.75, 4 Hg 2.86
4 Br 0.5000 0.5000 0.6508  5 Pt 2.94-3.26, 4 Br 3.29

Crystal system = tetragonal
Calculated volume = 81.9 Å³/cell

b) Below is a geometry-optimized HgPt2Br structure, with properties calculated at the PBE level.

Unit cell a=3.0530 b=4.5954 c=5.5465 alpha=90.00 beta=90.00 gamma=90.00
With the nearest neighbours (Å) after each atom.
Positions (direct):
1 Hg 0.0000 0.0000 0.0000  4 Pt 2.76, 2 Hg 3.05
2 Pt 0.0000 0.5000 0.5000  4 Br 2.76, 2 Pt 3.05
3 Pt 0.5000 0.5000 0.0000  4 Hg 2.76, 2 Pt 3.05
4 Br 0.5000 0.0000 0.5000  4 Pt 2.76, 2 Br 3.05

Crystal system = orthorhombic
Calculated volume = 77.8 Å³/cell

Most stable structure - a); separation to the second - 109 meV per atom.